# 1
An optimized crystal structure of TlNi2Mo. Source: Alexandria via LeMat-Bulk, functional GGA-PBE.

The structure in POSCAR format:
```
TlNi2Mo
1.0
3.038 0.000 0.000
0.000 3.038 0.000
0.000 0.000 6.536
Tl Ni Mo
1 2 1
Cartesian
0.000 0.000 0.000 Tl
0.000 0.000 3.517 Ni
1.519 1.519 4.791 Ni
1.519 1.519 2.163 Mo
```

Summary:
Volume ... 15.1 A^3/atom
SG ... No. 99
Energy relative to the elements ... 343 meV/atom
ΔE to the lowest computed polymorph ... 75 meV/atom
Total energy ... -5.85 eV per atom

***

# 2
An optimized crystal structure of TlNiMo2. Source: Alexandria via LeMat-Bulk, functional GGA-PBE.

The structure in POSCAR format:
```
TlNiMo2
1.0
2.817 0.000 0.000
0.000 4.222 0.000
-0.905 0.000 5.605
Tl Ni Mo
1 1 2
Cartesian
0.000 0.000 0.000 Tl
1.881 2.111 4.063 Ni
0.511 0.000 2.897 Mo
1.355 2.111 1.584 Mo
```

Summary:
Volume ... 16.7 A^3/atom
SG ... No. 6
Energy relative to the elements ... 454 meV/atom
ΔE to the lowest computed polymorph ... 86 meV/atom
Total energy ... -7.00 eV per atom

***

Question: Look up the total energy of the first one.
Answer: -5.85 eV per atom

***

Question: Which formula does entry 1 have?
Answer: TlNi2Mo